Record 1
This record from the Alexandria database describes crystalline TbMgAl2 at its relaxed geometry. The functional is PBE-GGA.

Output
formation enthalpy at 0 K: -0.328 eV per atom
VASP energy: -3.756 eV/atom
distance to the lowest polymorph of the same formula: 0.0000 eV per atom

Unit cell a=4.4150 b=4.4150 c=4.3351 alpha=90.00 beta=90.00 gamma=90.00
Fractional coordinates of all 4 atoms:
1 Tb 0.0000 0.0000 0.0000
2 Mg 0.5000 0.5000 0.0000
3 Al 0.0000 0.5000 0.5000
4 Al 0.5000 0.0000 0.5000

***

Record 2
This record from the Alexandria database describes crystalline TbMg2Al at its relaxed geometry. The functional is PBE-GGA.

Output
formation enthalpy at 0 K: -0.209 eV per atom
VASP energy: -3.099 eV/atom
distance to the lowest polymorph of the same formula: 0.0000 eV per atom

Unit cell a=4.3990 b=4.3990 c=4.7897 alpha=90.00 beta=90.00 gamma=90.00
Fractional coordinates of all 4 atoms:
1 Tb 0.0000 0.0000 0.0000
2 Mg 0.0000 0.5000 0.5000
3 Mg 0.5000 0.0000 0.5000
4 Al 0.5000 0.5000 0.0000

***

Record 3
This record from the Alexandria database describes crystalline Tb4Mg3Al at its relaxed geometry. The functional is PBE-GGA.

Output
formation enthalpy at 0 K: -0.175 eV per atom
VASP energy: -3.556 eV/atom

Unit cell a=9.1924 b=9.1924 c=9.1924 alpha=33.50 beta=33.50 gamma=33.50
Fractional coordinates of all 8 atoms:
1 Tb 0.1216 0.1216 0.1216
2 Tb 0.3718 0.3718 0.3718
3 Tb 0.6282 0.6282 0.6282
4 Tb 0.8784 0.8784 0.8784
5 Mg 0.2470 0.2470 0.2470
6 Mg 0.5000 0.5000 0.5000
7 Mg 0.7530 0.7530 0.7530
8 Al 0.0000 0.0000 0.0000

***

Record 4
This record from the Alexandria database describes crystalline TbMgTiAl at its relaxed geometry. The functional is PBE-GGA.

Output
formation enthalpy at 0 K: -0.081 eV per atom
VASP energy: -4.547 eV/atom

Unit cell a=4.9107 b=4.9107 c=4.9107 alpha=60.00 beta=60.00 gamma=60.00
Fractional coordinates of all 4 atoms:
1 Tb 0.0000 0.0000 0.0000
2 Mg 0.2500 0.2500 0.2500
3 Ti 0.5000 0.5000 0.5000
4 Al 0.7500 0.7500 0.7500

***

Record 5
This record from the Alexandria database describes crystalline TbTmMgAl at its relaxed geometry. The functional is PBE-GGA.

Output
formation enthalpy at 0 K: -0.266 eV per atom
VASP energy: -3.876 eV/atom

Unit cell a=5.1739 b=5.1739 c=5.1739 alpha=60.00 beta=60.00 gamma=60.00
Fractional coordinates of all 4 atoms:
1 Tb 0.0000 0.0000 0.0000
2 Tm 0.5000 0.5000 0.5000
3 Mg 0.2500 0.2500 0.2500
4 Al 0.7500 0.7500 0.7500

***

Record 6
This record from the Alexandria database describes crystalline TbYMgAl at its relaxed geometry. The functional is PBE-GGA.

Output
formation enthalpy at 0 K: -0.289 eV per atom
VASP energy: -4.397 eV/atom

Unit cell a=5.2135 b=5.2135 c=5.2135 alpha=60.00 beta=60.00 gamma=60.00
Fractional coordinates of all 4 atoms:
1 Tb 0.0000 0.0000 0.0000
2 Y 0.5000 0.5000 0.5000
3 Mg 0.2500 0.2500 0.2500
4 Al 0.7500 0.7500 0.7500